Entry from Alexandria via LeMat-Bulk: a geometry-optimized Na2Mo3O9 structure (PBE+U).

The structure belongs to space group C2/m (No. 12); the cell edges are 9.356, 13.586 and 8.375 Å and the angles 90.00°, 121.07° and 90.00°. The inequivalent atoms are Na at (0.197, 0.143, 0.294), Mo at (0.043, 0.374, 0.223), Mo at (0.202, 0.000, 0.891), O at (0.000, 0.301, 0.000), O at (0.015, 0.000, 0.196), O at (0.077, 0.500, 0.354), O at (0.086, 0.283, 0.389), O at (0.203, 0.403, 0.904) and O at (0.234, 0.097, 0.751).

Its uncorrected energy is -6.464 eV per atom. The value obtained for the density of states at the Fermi level is 2.3 states/eV per cell.